Model P:
This record from the Alexandria database describes crystalline CdGaHg at its relaxed geometry. The functional is PBE.

Structure (CIF):
```
data_CdGaHg
_chemical_formula_sum 'Cd1 Ga1 Hg1'
_symmetry_space_group_name_H-M 'P 3 m 1'
_symmetry_Int_Tables_number 156
_symmetry_space_group_name_Hall 'P 3 -2"'
_cell_length_a 4.9701
_cell_length_b 4.9701
_cell_length_c 3.2228
_cell_angle_alpha 90.00
_cell_angle_beta 90.00
_cell_angle_gamma 120.00
loop_
_atom_site_label
_atom_site_type_symbol
_atom_site_fract_x
_atom_site_fract_y
_atom_site_fract_z
Cd1 Cd 0.0000 0.0000 0.0000
Ga1 Ga 0.6667 0.3333 0.4368
Hg1 Hg 0.3333 0.6667 0.6140
```



Model Q:
This record from the Alexandria database describes crystalline CdGaHg at its relaxed geometry. The functional is PBE.

Structure (CIF):
```
data_CdGaHg
_chemical_formula_sum 'Cd2 Ga2 Hg2'
_symmetry_space_group_name_H-M 'P 1 21/m 1'
_symmetry_Int_Tables_number 11
_symmetry_space_group_name_Hall '-P 2yb'
_cell_length_a 3.032
_cell_length_b 4.249
_cell_length_c 10.559
_cell_angle_alpha 90.00
_cell_angle_beta 90.10
_cell_angle_gamma 90.00
loop_
_atom_site_label
_atom_site_type_symbol
_atom_site_fract_x
_atom_site_fract_y
_atom_site_fract_z
Cd1 Cd 0.243 0.250 0.272
Ga1 Ga 0.253 0.250 0.567
Hg1 Hg 0.259 0.250 0.903
```



Which structure wins on stability? model Q wins.